PBE Pr8P3AuI4, relaxed; raw formation energy = -1.21 eV per atom; E_tot = -5.207 eV/atom; crystal system = trigonal
1.0
4.294 2.479 7.746
-4.294 2.479 7.746
0.000 -4.959 7.746
Pr P Au I
8 3 1 4
direct
0.222 0.738 0.738
0.230 0.230 0.230
0.262 0.262 0.778
0.262 0.778 0.262
0.738 0.222 0.738
0.738 0.738 0.222
0.770 0.770 0.770
0.778 0.262 0.262
0.000 0.000 0.500
0.000 0.500 0.000
0.500 0.000 0.000
0.500 0.500 0.500
0.000 0.000 0.000
0.000 0.500 0.500
0.500 0.000 0.500
0.500 0.500 0.000